PBE-GGA SbHPd2, relaxed; uncorrected energy = -17.1 eV per formula unit; excess energy over the best structure of this formula in the dataset = 428 meV/atom; SG = Fm-3m, No. 225; Fermi-level density of states = 2.3 states/eV per cell
1.0
0.0000 3.1219 3.1219
3.1219 0.0000 3.1219
3.1219 3.1219 0.0000
Sb Pd H
1 2 1
direct
0.5000 0.5000 0.5000
0.2500 0.2500 0.2500
0.7500 0.7500 0.7500
0.0000 0.0000 0.0000